Record 1
Here is a relaxed structure of Er2TmMg4Tl2 from the Open Quantum Materials Database. Energies are from GGA-PBE.

Results
DFT total energy in eV/atom: -2.94
Volume in Å³/atom: 25.2

Unit cell a=4.613 b=7.527 c=7.527 alpha=119.91 beta=90.00 gamma=90.00
Fractional coordinates of all 9 atoms:
Er: 0.000 0.219 0.781
Er: 0.000 0.781 0.219
Tm: 0.000 0.343 0.343
Mg: 0.000 0.780 0.780
Mg: 0.500 0.023 0.023
Mg: 0.500 0.539 0.781
Mg: 0.500 0.781 0.539
Tl: 0.500 0.115 0.448
Tl: 0.500 0.448 0.115

---

Record 2
Here is a relaxed structure of Er2TmMg3Tl2Zn from the Open Quantum Materials Database. Energies are from GGA-PBE.

Results
DFT total energy in eV/atom: -2.99
Volume in Å³/atom: 24.1

Unit cell a=4.502 b=7.461 c=7.461 alpha=119.89 beta=90.00 gamma=90.00
Fractional coordinates of all 9 atoms:
Er: 0.000 0.208 0.792
Er: 0.000 0.792 0.208
Tm: 0.000 0.375 0.375
Mg: 0.500 0.027 0.027
Mg: 0.500 0.555 0.791
Mg: 0.500 0.791 0.555
Tl: 0.500 0.125 0.458
Tl: 0.500 0.458 0.125
Zn: 0.000 0.790 0.790

---

Record 3
Here is a relaxed structure of Y2ErMg4Tl2 from the Open Quantum Materials Database. Energies are from GGA-PBE.

Results
DFT total energy in eV/atom: -3.41
Volume in Å³/atom: 25.6

Unit cell a=4.631 b=7.565 c=7.565 alpha=119.80 beta=90.00 gamma=90.00
Fractional coordinates of all 9 atoms:
Y: 0.000 0.218 0.782
Y: 0.000 0.782 0.218
Er: 0.000 0.655 0.655
Mg: 0.000 0.221 0.221
Mg: 0.500 0.218 0.461
Mg: 0.500 0.461 0.218
Mg: 0.500 0.977 0.977
Tl: 0.500 0.552 0.883
Tl: 0.500 0.883 0.552

---

Record 4
Here is a relaxed structure of Er3Mg3Tl2Zn from the Open Quantum Materials Database. Energies are from GGA-PBE.

Results
DFT total energy in eV/atom: -3.00
Volume in Å³/atom: 24.2

Unit cell a=7.472 b=7.472 c=4.502 alpha=90.00 beta=90.00 gamma=120.00
Fractional coordinates of all 9 atoms:
Er: 0.000 0.416 0.000
Er: 0.416 0.000 0.000
Er: 0.584 0.584 0.000
Mg: 0.000 0.764 0.500
Mg: 0.236 0.236 0.500
Mg: 0.764 0.000 0.500
Tl: 0.333 0.667 0.500
Tl: 0.667 0.333 0.500
Zn: 0.000 0.000 0.000

---

Record 5
Here is a relaxed structure of ErTm2Mg from the Open Quantum Materials Database. Energies are from GGA-PBE.

Results
DFT total energy in eV/atom: -3.75
Volume in Å³/atom: 28.5
Polymorph energy (0 for the lowest one) in meV per atom: 0

Unit cell a=6.925 b=6.925 c=5.492 alpha=90.00 beta=90.00 gamma=120.07
Fractional coordinates of all 8 atoms:
Er: 0.170 0.830 0.750
Er: 0.830 0.170 0.250
Tm: 0.169 0.337 0.750
Tm: 0.337 0.169 0.250
Tm: 0.663 0.831 0.750
Tm: 0.831 0.663 0.250
Mg: 0.334 0.666 0.250
Mg: 0.666 0.334 0.750

---

Record 6
Here is a relaxed structure of ErTmMg from the Open Quantum Materials Database. Energies are from GGA-PBE.

Results
DFT total energy in eV/atom: -3.58
Volume in Å³/atom: 27.8
Polymorph energy (0 for the lowest one) in meV per atom: 0

Unit cell a=8.801 b=8.801 c=5.415 alpha=90.00 beta=90.00 gamma=156.56
Fractional coordinates of all 6 atoms:
Er: 0.098 0.902 0.750
Er: 0.902 0.098 0.250
Tm: 0.226 0.774 0.250
Tm: 0.774 0.226 0.750
Mg: 0.437 0.563 0.750
Mg: 0.563 0.437 0.250

---

Record 7
Here is a relaxed structure of ErTm2Mg from the Open Quantum Materials Database. Energies are from GGA-PBE.

Results
DFT total energy in eV/atom: -3.72
Volume in Å³/atom: 28.7
Polymorph energy (0 for the lowest one) in meV per atom: 35

Unit cell a=5.503 b=6.918 c=6.918 alpha=60.77 beta=90.00 gamma=90.00
Fractional coordinates of all 8 atoms:
Er: 0.000 0.000 0.000
Er: 0.500 0.327 0.327
Tm: 0.000 0.499 0.499
Tm: 0.500 0.327 0.827
Tm: 0.500 0.827 0.327
Tm: 0.500 0.828 0.828
Mg: 0.000 0.496 0.993
Mg: 0.000 0.993 0.496

---

Record 8
Here is a relaxed structure of ErTmMg from the Open Quantum Materials Database. Energies are from GGA-PBE.

Results
DFT total energy in eV/atom: -3.09
Volume in Å³/atom: 32.7
Polymorph energy (0 for the lowest one) in meV per atom: 495

Unit cell a=5.177 b=5.177 c=5.177 alpha=60.00 beta=60.00 gamma=60.00
Fractional coordinates of all 3 atoms:
Er: 0.000 0.000 0.000
Tm: 0.500 0.500 0.500
Mg: 0.250 0.250 0.250

---

Record 9
Here is a relaxed structure of Er6TmMg from the Open Quantum Materials Database. Energies are from GGA-PBE.

Results
DFT total energy in eV/atom: -4.15
Volume in Å³/atom: 29.8

Unit cell a=7.037 b=7.037 c=5.555 alpha=90.00 beta=90.00 gamma=120.00
Fractional coordinates of all 8 atoms:
Er: 0.000 0.500 0.000
Er: 0.164 0.328 0.500
Er: 0.164 0.836 0.500
Er: 0.500 0.000 0.000
Er: 0.500 0.500 0.000
Er: 0.672 0.836 0.500
Tm: 0.000 0.000 0.000
Mg: 0.667 0.333 0.500

---

Record 10
Here is a relaxed structure of Er2Tm5Mg from the Open Quantum Materials Database. Energies are from GGA-PBE.

Results
DFT total energy in eV/atom: -4.11
Volume in Å³/atom: 29.5

Unit cell a=5.530 b=7.018 c=7.018 alpha=60.00 beta=90.00 gamma=90.00
Fractional coordinates of all 8 atoms:
Er: 0.000 0.000 0.000
Er: 0.500 0.337 0.337
Tm: 0.000 0.000 0.501
Tm: 0.000 0.501 0.000
Tm: 0.000 0.501 0.501
Tm: 0.500 0.337 0.828
Tm: 0.500 0.828 0.337
Mg: 0.500 0.833 0.833

---

Record 11
Here is a relaxed structure of ErTmMg from the Open Quantum Materials Database. Energies are from GGA-PBE.

Results
DFT total energy in eV/atom: -3.58
Volume in Å³/atom: 27.8
Polymorph energy (0 for the lowest one) in meV per atom: 3

Unit cell a=8.798 b=8.798 c=5.412 alpha=90.00 beta=90.00 gamma=156.53
Fractional coordinates of all 6 atoms:
Er: 0.226 0.774 0.750
Er: 0.774 0.226 0.250
Tm: 0.098 0.902 0.250
Tm: 0.902 0.098 0.750
Mg: 0.437 0.563 0.250
Mg: 0.563 0.437 0.750

---

Record 12
Here is a relaxed structure of Er2TmMg5 from the Open Quantum Materials Database. Energies are from GGA-PBE.

Results
DFT total energy in eV/atom: -2.71
Volume in Å³/atom: 25.7

Unit cell a=5.171 b=6.468 c=6.468 alpha=72.07 beta=90.00 gamma=90.00
Fractional coordinates of all 8 atoms:
Er: 0.000 0.000 0.000
Er: 0.500 0.258 0.258
Tm: 0.000 0.509 0.509
Mg: 0.000 0.509 0.998
Mg: 0.000 0.998 0.509
Mg: 0.500 0.260 0.758
Mg: 0.500 0.758 0.260
Mg: 0.500 0.759 0.759

---

Going through the records in order, we get mass density values of 7.4, 8.0, 6.1, 8.0, 7.7, 7.2, 7.7, 6.1, 8.3, 8.5, 7.2, 5.0 g/cm³.